Entry from Alexandria: Cr2BiSbO8 after structural relaxation (GGA+U).

Output
**Electronic total energy**: -6.680 eV per atom
**Total magnetic moment**: 5.98 μB per formula unit
**Crystal system**: orthorhombic

Lattice parameters (Å, degrees): 4.698 4.697 6.438 90.00 90.00 91.41
Fractional coordinates of all 12 atoms:
Cr (0.500, 0.500, 0.243)
Cr (0.500, 0.500, 0.757)
O (0.319, 0.319, 0.500)
O (0.681, 0.681, 0.500)
O (0.198, 0.801, 0.236)
O (0.694, 0.695, 0.000)
O (0.802, 0.199, 0.236)
O (0.802, 0.199, 0.764)
O (0.198, 0.801, 0.764)
O (0.306, 0.305, 0.000)
Sb (0.000, 0.000, 0.000)
Bi (0.000, 0.000, 0.500)